Entry 1:
The following is a DFT calculation (PBE-GGA) of a relaxed structure of La2NdCl.

The value obtained for the energy relative to the elements, uncorrected is -0.54 eV/atom. The value obtained for the density of states at the Fermi level is 21.3 states/eV per cell. As for the density: 6.0 g/cm3. Its total magnetization is 1.17 Bohr magnetons per cell.

The space group is R-3m (No. 166, hexagonal axes) and the conventional cell measures 3.5668, 3.5668 and 34.7532 Å, with angles of 90.00, 90.00 and 120.00 degrees. Symmetry generates all atoms from La at (0.0000, 0.0000, 0.1001), Nd at (0.0000, 0.0000, 0.0000) and Cl at (0.0000, 0.0000, 0.5000).

---

Entry 2:
The following is a DFT calculation (PBE-GGA) of a relaxed structure of Tm3NpAg3Se8.

The value obtained for the energy relative to the elements, uncorrected is -1.13 eV/atom. The value obtained for the density of states at the Fermi level is 9.4 states/eV per cell. As for the density: 7.4 g/cm3. Its total magnetization is 6.00 Bohr magnetons per cell.

The space group is C2/m (No. 12) and the conventional cell measures 13.758, 8.251 and 8.049 Å, with angles of 90.00, 123.47 and 90.00 degrees. Symmetry generates all atoms from Tm at (0.000, 0.000, 0.000), Tm at (0.250, 0.250, 0.500), Np at (0.000, 0.500, 0.000), Ag at (0.000, 0.500, 0.500), Ag at (0.250, 0.250, 0.000), Se at (0.003, 0.249, 0.247), Se at (0.248, 0.000, 0.253) and Se at (0.248, 0.500, 0.256).